# Ti4VTe8 | Alexandria via LeMat-Bulk | GGA-PBE | optimized geometry
# Calculated volume ... 26.459 Å³/atom
# Mass density ... 6098 kg/m3
# Energy ... -5.64 eV per atom
data_Ti4VTe8
_chemical_formula_sum 'Ti12 V3 Te24'
_symmetry_space_group_name_H-M 'R -3 m'
_symmetry_Int_Tables_number 166
_symmetry_space_group_name_Hall '-R 3 2"'
_cell_length_a 7.6243
_cell_length_b 7.6243
_cell_length_c 20.4983
_cell_angle_alpha 90.00
_cell_angle_beta 90.00
_cell_angle_gamma 120.00
loop_
_atom_site_label
_atom_site_fract_x
_atom_site_fract_y
_atom_site_fract_z
_atom_site_occupancy
Ti1 0.0000 0.0000 0.0000 1
Ti2 0.0000 0.5000 0.0000 1
V1 0.0000 0.0000 0.5000 1
Te1 0.0000 0.0000 0.2503 1
Te2 0.0026 0.5013 0.7511 1